VASP calculation (PBE) on crystalline CsKHg12 at its relaxed geometry.

Unit cell a=7.364 b=7.364 c=14.388 alpha=90.00 beta=90.00 gamma=90.00
Element x y z (fractional)
Cs 0.000 0.000 0.500
K 0.000 0.000 0.000
Hg 0.195 0.500 0.250
Hg 0.195 0.500 0.750
Hg 0.500 0.500 0.401
Hg 0.500 0.500 0.901
Hg 0.500 0.195 0.250
Hg 0.500 0.195 0.750
Hg 0.500 0.500 0.099
Hg 0.500 0.500 0.599
Hg 0.500 0.805 0.250
Hg 0.500 0.805 0.750
Hg 0.805 0.500 0.250
Hg 0.805 0.500 0.750

Computed properties:
For the volume, the calculation gives 780.3 Å³/cell. The calculation puts the energy of formation from the pure elements at 0.068 eV per atom. The total energy is -0.330 eV/atom.